(1)
First-principles (PBE) data for an optimized crystal structure of SrHfCo2, as listed in OQMD.

Properties
As for the electronic total energy: -5.635 eV/atom.

The structure in POSCAR format:
```
SrHfCo2
1.0
0.0000 3.2450 3.2450
3.2450 0.0000 3.2450
3.2450 3.2450 0.0000
Co Hf Sr
2 1 1
Cartesian
1.6225 1.6225 1.6225
3.2450 3.2450 3.2450
0.0000 0.0000 0.0000
4.8675 4.8675 4.8675
```

(2)
First-principles (PBE) data for an optimized crystal structure of Hf3TaCo2, as listed in OQMD.

Properties
As for the formation energy: -265 meV/atom. As for the electronic total energy: -9.587 eV/atom.

The structure in POSCAR format:
```
Hf3TaCo2
1.0
-3.2121 -5.1042 -1.5342
-1.0221 -4.0678 2.9862
-5.1000 -0.5308 -0.1097
Co Hf Ta
2 3 1
Cartesian
-2.3322 -2.4389 0.3380
-6.9993 -7.2903 1.0091
-2.2547 -4.3368 2.2038
-4.5248 -6.2717 0.9279
-7.0787 -5.3738 -0.8600
-4.8128 -3.3971 0.4083
```

(3)
First-principles (PBE) data for an optimized crystal structure of HfTaCo, as listed in OQMD.

Properties
As for the formation energy: -242 meV/atom. As for the electronic total energy: -9.880 eV/atom. The polymorph energy (0 for the lowest one) comes out at 21 meV per atom.

The structure in POSCAR format:
```
HfTaCo
1.0
-3.6958 -3.4772 -0.2209
0.7100 0.8606 4.9552
-1.6146 3.8116 -2.9434
Co Hf Ta
2 2 2
Cartesian
-2.2441 -1.9666 3.5582
-3.4064 -0.4911 -0.3911
-2.3278 0.1413 1.9425
-1.7547 1.5075 -0.9727
-3.2962 -2.5873 1.2094
-1.8125 3.3367 1.3876
```

(4)
First-principles (PBE) data for an optimized crystal structure of HfTaCo, as listed in OQMD.

Properties
As for the formation energy: -263 meV/atom. As for the electronic total energy: -9.901 eV/atom. The polymorph energy (0 for the lowest one) comes out at 0 meV per atom.

The structure in POSCAR format:
```
HfTaCo
1.0
-1.1127 -5.6499 -2.2372
-0.1975 -4.4079 2.5686
-4.4964 -1.9850 -1.1481
Co Hf Ta
2 2 2
Cartesian
-1.4517 -3.0107 -0.2042
-4.3550 -9.0322 -0.6125
-1.9999 -5.4827 0.5856
-3.8067 -6.5601 -1.4023
-1.8273 -8.7478 0.0914
-3.9793 -3.2951 -0.9080
```

(5)
First-principles (PBE) data for an optimized crystal structure of HfTaCo, as listed in OQMD.

Properties
As for the formation energy: 103 meV/atom. As for the electronic total energy: -9.535 eV/atom. The polymorph energy (0 for the lowest one) comes out at 366 meV per atom.

The structure in POSCAR format:
```
HfTaCo
1.0
-0.7592 -3.9514 1.4136
-3.1038 -2.3352 -1.7612
0.9805 -3.3611 -2.4352
Co Hf Ta
1 1 1
Cartesian
0.0000 0.0000 0.0000
-0.7206 -2.4119 -0.6957
-2.1618 -7.2358 -2.0870
```

(6)
First-principles (PBE) data for an optimized crystal structure of HfTaCo2, as listed in OQMD.

Properties
As for the formation energy: 101 meV/atom. As for the electronic total energy: -8.904 eV/atom.

The structure in POSCAR format:
```
HfTaCo2
1.0
-1.2689 -2.3549 3.4248
-3.4496 -2.6229 -0.3245
0.5419 -4.3118 -0.0069
Co Hf Ta
2 1 1
Cartesian
0.0000 0.0000 0.0000
-1.0442 -2.3224 0.7733
-2.0883 -4.6448 1.5467
-3.1325 -6.9672 2.3200
```

(7)
First-principles (PBE) data for an optimized crystal structure of HfTa2Co, as listed in OQMD.

Properties
As for the formation energy: 30 meV/atom. As for the electronic total energy: -10.161 eV/atom.

The structure in POSCAR format:
```
HfTa2Co
1.0
-2.0669 2.2365 3.3915
-3.5498 2.7167 -0.8918
-4.1905 -1.2204 1.3140
Co Hf Ta
1 1 2
Cartesian
-7.3554 2.7996 2.8603
-4.9036 1.8664 1.9069
0.0000 0.0000 0.0000
-2.4518 0.9332 0.9534
```

(8)
First-principles (PBE) data for an optimized crystal structure of HfTaTlCo, as listed in OQMD.

Properties
As for the electronic total energy: -7.327 eV/atom. The polymorph energy (0 for the lowest one) comes out at 0 meV per atom.

The structure in POSCAR format:
```
HfTaTlCo
1.0
-1.6032 2.6209 3.5420
-1.2906 4.4419 -0.7674
-4.5326 1.1877 0.1731
Co Hf Ta Tl
1 1 1 1
Cartesian
-5.5698 6.1879 2.2108
-3.7132 4.1253 1.4738
-1.8566 2.0626 0.7369
0.0000 0.0000 0.0000
```

| no. | V (Å³/cell) | magnetization (μB/atom) |
| --- | --- | --- |
| 1 | 68 | 0.00 |
| 2 | 103 | 0.00 |
| 3 | 99 | 0.00 |
| 4 | 99 | 0.00 |
| 5 | 55 | 0.01 |
| 6 | 58 | 0.19 |
| 7 | 67 | 0.01 |
| 8 | 73 | 0.75 |